No. 1
An optimized crystal structure of Te2MoWSeS, computed with PBE.

Lattice parameters (Å, degrees): 3.397 3.397 35.738 90.00 90.00 120.00
Sites, in units of the cell vectors:
Te1 0.000 0.000 0.000
Te2 0.000 0.000 0.105
Te3 0.000 0.000 0.402
Te4 0.000 0.000 0.508
Mo1 0.000 0.000 0.253
Mo2 0.333 0.667 0.052
W1 0.000 0.000 0.843
W2 0.333 0.667 0.455
Se1 0.333 0.667 0.797
Se2 0.333 0.667 0.890
S1 0.333 0.667 0.211
S2 0.333 0.667 0.295

Results
Offset from the most stable computed form, meV/atom: 35
E_tot, eV/atom: -6.67
Theoretical density, Mg/m³: 6.01
Raw formation energy, eV/atom: -0.39

***

No. 2
An optimized crystal structure of Te2Mo3WSe2S4, computed with PBE.

Lattice parameters (Å, degrees): 3.310 3.310 36.282 90.00 90.00 120.00
Sites, in units of the cell vectors:
Te1 0.000 0.000 0.000
Te2 0.000 0.000 0.106
Mo1 0.000 0.000 0.260
Mo2 0.000 0.000 0.854
Mo3 0.667 0.333 0.664
W1 0.667 0.333 0.053
Se1 0.667 0.333 0.214
Se2 0.667 0.333 0.307
S1 0.000 0.000 0.622
S2 0.000 0.000 0.706
S3 0.667 0.333 0.812
S4 0.667 0.333 0.896

Results
Offset from the most stable computed form, meV/atom: 38
E_tot, eV/atom: -6.84
Theoretical density, Mg/m³: 4.89
Raw formation energy, eV/atom: -0.57

***

No. 3
An optimized crystal structure of Te2MoW3Se4S2, computed with PBE.

Lattice parameters (Å, degrees): 3.339 3.339 33.585 90.00 90.00 120.00
Sites, in units of the cell vectors:
Te1 0.000 0.000 0.000
Te2 0.000 0.000 0.113
Mo1 0.667 0.333 0.057
W1 0.000 0.000 0.277
W2 0.000 0.000 0.704
W3 0.667 0.333 0.484
Se1 0.000 0.000 0.434
Se2 0.000 0.000 0.534
Se3 0.667 0.333 0.654
Se4 0.667 0.333 0.754
S1 0.667 0.333 0.232
S2 0.667 0.333 0.322

Results
Offset from the most stable computed form, meV/atom: 0
E_tot, eV/atom: -7.03
Theoretical density, Mg/m³: 6.57
Raw formation energy, eV/atom: -0.52

***

No. 4
An optimized crystal structure of Te4MoW3Se2S2, computed with PBE.

Lattice parameters (Å, degrees): 3.397 3.397 35.873 90.00 90.00 120.00
Sites, in units of the cell vectors:
Te1 0.000 0.000 0.000
Te2 0.000 0.000 0.105
Te3 0.333 0.667 0.784
Te4 0.333 0.667 0.889
Mo1 0.333 0.667 0.631
W1 0.000 0.000 0.435
W2 0.000 0.000 0.836
W3 0.333 0.667 0.053
Se1 0.000 0.000 0.585
Se2 0.000 0.000 0.677
S1 0.333 0.667 0.393
S2 0.333 0.667 0.477

Results
Offset from the most stable computed form, meV/atom: 20
E_tot, eV/atom: -6.81
Theoretical density, Mg/m³: 6.39
Raw formation energy, eV/atom: -0.36

***

No. 5
An optimized crystal structure of TeMoWSeS2, computed with PBE.

Lattice parameters (Å, degrees): 3.310 3.310 28.996 90.00 90.00 120.00
Sites, in units of the cell vectors:
Te1 0.000 0.000 0.000
Te2 0.000 0.000 0.133
Mo1 0.000 0.000 0.818
Mo2 0.333 0.667 0.583
W1 0.000 0.000 0.331
W2 0.333 0.667 0.066
Se1 0.333 0.667 0.273
Se2 0.333 0.667 0.390
S1 0.000 0.000 0.530
S2 0.000 0.000 0.636
S3 0.333 0.667 0.766
S4 0.333 0.667 0.871

Results
Offset from the most stable computed form, meV/atom: 53
E_tot, eV/atom: -6.99
Theoretical density, Mg/m³: 6.65
Raw formation energy, eV/atom: -0.55

***

No. 6
An optimized crystal structure of Te2Mo3WSe2S4, computed with PBE.

Lattice parameters (Å, degrees): 3.306 3.306 29.596 90.00 90.00 120.00
Sites, in units of the cell vectors:
Te1 0.000 0.000 0.000
Te2 0.000 0.000 0.129
Mo1 0.000 0.000 0.322
Mo2 0.333 0.667 0.065
Mo3 0.333 0.667 0.562
W1 0.000 0.000 0.809
Se1 0.000 0.000 0.505
Se2 0.000 0.000 0.618
S1 0.333 0.667 0.270
S2 0.333 0.667 0.373
S3 0.333 0.667 0.757
S4 0.333 0.667 0.861

Results
Offset from the most stable computed form, meV/atom: 0
E_tot, eV/atom: -6.88
Theoretical density, Mg/m³: 6.01
Raw formation energy, eV/atom: -0.61

***

No. 7
An optimized crystal structure of Te2MoWSeS, computed with PBE.

Lattice parameters (Å, degrees): 3.401 3.401 32.942 90.00 90.00 120.00
Sites, in units of the cell vectors:
Te1 0.000 0.000 0.000
Te2 0.000 0.000 0.114
Te3 0.333 0.667 0.233
Te4 0.333 0.667 0.347
Mo1 0.000 0.000 0.840
Mo2 0.333 0.667 0.516
W1 0.000 0.000 0.290
W2 0.333 0.667 0.057
Se1 0.000 0.000 0.466
Se2 0.000 0.000 0.566
S1 0.333 0.667 0.794
S2 0.333 0.667 0.885

Results
Offset from the most stable computed form, meV/atom: 55
E_tot, eV/atom: -6.65
Theoretical density, Mg/m³: 6.50
Raw formation energy, eV/atom: -0.37

***

No. 8
An optimized crystal structure of TiMo2Se4S2, computed with PBE.

Lattice parameters (Å, degrees): 3.331 3.331 21.286 90.00 90.00 120.00
Sites, in units of the cell vectors:
Ti1 0.000 0.000 0.000
Mo1 0.000 0.000 0.653
Mo2 0.667 0.333 0.320
Se1 0.000 0.000 0.242
Se2 0.000 0.000 0.399
Se3 0.667 0.333 0.575
Se4 0.667 0.333 0.732
S1 0.667 0.333 0.071
S2 0.667 0.333 0.929

Results
E_tot, eV/atom: -6.59
Theoretical density, Mg/m³: 5.03
Raw formation energy, eV/atom: -0.84

***

No. 9
An optimized crystal structure of VMo2Se4S2, computed with PBE.

Lattice parameters (Å, degrees): 3.281 3.281 21.346 90.00 90.00 120.00
Sites, in units of the cell vectors:
V1 0.000 0.000 0.000
Mo1 0.000 0.000 0.655
Mo2 0.667 0.333 0.317
Se1 0.000 0.000 0.238
Se2 0.000 0.000 0.396
Se3 0.667 0.333 0.575
Se4 0.667 0.333 0.734
S1 0.667 0.333 0.069
S2 0.667 0.333 0.931

Results
E_tot, eV/atom: -6.62
Theoretical density, Mg/m³: 5.20
Raw formation energy, eV/atom: -0.74

***

No. 10
An optimized crystal structure of VMoSeS2, computed with PBE.

Lattice parameters (Å, degrees): 4.298 4.298 5.612 90.00 90.00 90.00
Sites, in units of the cell vectors:
V1 0.000 0.000 0.000
Mo1 0.000 0.000 0.500
Se1 0.500 0.500 0.500
S1 0.000 0.500 0.000
S2 0.500 0.000 0.000

Results
E_tot, eV/atom: -5.85
Theoretical density, Mg/m³: 4.64
Raw formation energy, eV/atom: 0.49